Entry 1:
Material: NaUPd14
Method: DFT, PBE-GGA
State: optimized geometry

Unit cell a=5.777 b=5.777 c=7.709 alpha=90.00 beta=90.00 gamma=90.00
Space group P4/mmm (No. 123)
Inequivalent atoms, fractional coordinates:
Na: 0.000 0.000 0.000 x1
U: 0.500 0.500 0.000 x1
Pd: 0.000 0.000 0.500 x1
Pd: 0.000 0.500 0.000 x2
Pd: 0.000 0.500 0.500 x2
Pd: 0.255 0.255 0.250 x8
Pd: 0.500 0.500 0.500 x1

* formation enthalpy at 0 K: -0.20 eV/atom
* total moment: 0.000 μB per atom

Entry 2:
Material: Na2VPd
Method: DFT, PBE-GGA
State: optimized geometry

Unit cell a=6.890 b=6.890 c=6.890 alpha=90.00 beta=90.00 gamma=90.00
Space group Fm-3m (No. 225)
Inequivalent atoms, fractional coordinates:
Na: 0.250 0.250 0.250 x8
V: 0.000 0.000 0.000 x4
Pd: 0.000 0.000 0.500 x4

* formation enthalpy at 0 K: 0.67 eV/atom
* offset from the most stable computed form: 0 meV/atom
* total moment: 0.964 μB per atom

Entry 3:
Material: NaVPd
Method: DFT, PBE-GGA
State: optimized geometry

Unit cell a=5.1474 b=5.1474 c=22.5245 alpha=90.00 beta=90.00 gamma=120.00
Space group R3 (No. 146, hexagonal axes)
Inequivalent atoms, fractional coordinates:
Na: 0.0159 0.6760 0.0000 x9
V: 0.9997 0.4686 0.5332 x9
Pd: 0.0000 0.0000 0.1066 x3
Pd: 0.0000 0.0000 0.5681 x3
Pd: 0.0000 0.0000 0.7728 x3

* formation enthalpy at 0 K: 0.34 eV/atom
* total moment: 0.000 μB per atom

Entry 4:
Material: NaVPd2
Method: DFT, PBE-GGA
State: optimized geometry

Unit cell a=2.8464 b=2.8464 c=27.7908 alpha=90.00 beta=90.00 gamma=120.00
Space group R-3m (No. 166, hexagonal axes)
Inequivalent atoms, fractional coordinates:
Na: 0.0000 0.0000 0.0000 x3
V: 0.0000 0.0000 0.5000 x3
Pd: 0.0000 0.0000 0.2412 x6

* formation enthalpy at 0 K: -0.04 eV/atom
* offset from the most stable computed form: 102 meV/atom
* total moment: 0.000 μB per atom

Entry 5:
Material: NaVPd3
Method: DFT, PBE-GGA
State: optimized geometry

Unit cell a=4.700 b=4.700 c=4.700 alpha=90.00 beta=90.00 gamma=90.00
Space group Pm-3m (No. 221)
Inequivalent atoms, fractional coordinates:
Na: 0.000 0.000 0.000 x1
V: 0.500 0.500 0.500 x1
Pd: 0.000 0.500 0.500 x3

* formation enthalpy at 0 K: 0.41 eV/atom
* offset from the most stable computed form: 0 meV/atom
* total moment: 0.240 μB per atom

Entry 6:
Material: Na2VPd
Method: DFT, PBE-GGA
State: optimized geometry

Unit cell a=8.364 b=8.364 c=5.231 alpha=90.00 beta=90.00 gamma=90.00
Space group I-42d (No. 122)
Inequivalent atoms, fractional coordinates:
Na: 0.209 0.250 0.125 x8
V: 0.000 0.000 0.500 x4
Pd: 0.000 0.000 0.000 x4

* formation enthalpy at 0 K: 0.69 eV/atom
* offset from the most stable computed form: 14 meV/atom
* total moment: 0.911 μB per atom

Entry 7:
Material: NaV2Pd
Method: DFT, PBE-GGA
State: optimized geometry

Unit cell a=6.445 b=6.445 c=6.445 alpha=90.00 beta=90.00 gamma=90.00
Space group Fm-3m (No. 225)
Inequivalent atoms, fractional coordinates:
Na: 0.000 0.000 0.000 x4
V: 0.250 0.250 0.250 x8
Pd: 0.000 0.000 0.500 x4

* formation enthalpy at 0 K: 0.71 eV/atom
* offset from the most stable computed form: 0 meV/atom
* total moment: 1.317 μB per atom

Entry 8:
Material: NaV2Pd
Method: DFT, PBE-GGA
State: optimized geometry

Unit cell a=3.601 b=3.601 c=20.093 alpha=90.00 beta=90.00 gamma=90.00
Space group I-42d (No. 122)
Inequivalent atoms, fractional coordinates:
Na: 0.000 0.000 0.000 x4
V: 0.230 0.250 0.625 x8
Pd: 0.000 0.000 0.500 x4

* formation enthalpy at 0 K: 0.76 eV/atom
* offset from the most stable computed form: 49 meV/atom
* total moment: 0.000 μB per atom

Entry 9:
Material: NaVPd2
Method: DFT, PBE-GGA
State: optimized geometry

Unit cell a=2.862 b=2.862 c=8.067 alpha=90.00 beta=90.00 gamma=90.00
Space group P4/mmm (No. 123)
Inequivalent atoms, fractional coordinates:
Na: 0.000 0.000 0.000 x1
V: 0.000 0.000 0.500 x1
Pd: 0.500 0.500 0.289 x2

* formation enthalpy at 0 K: -0.14 eV/atom
* offset from the most stable computed form: 0 meV/atom
* total moment: 0.000 μB per atom

Entry 10:
Material: NaV2Pd9
Method: DFT, PBE-GGA
State: optimized geometry

Unit cell a=3.935 b=3.935 c=11.791 alpha=90.00 beta=90.00 gamma=90.00
Space group P4/mmm (No. 123)
Inequivalent atoms, fractional coordinates:
Na: 0.000 0.000 0.000 x1
V: 0.000 0.000 0.327 x2
Pd: 0.000 0.500 0.181 x4
Pd: 0.000 0.500 0.500 x2
Pd: 0.500 0.500 0.000 x1
Pd: 0.500 0.500 0.340 x2

* formation enthalpy at 0 K: -0.19 eV/atom
* total moment: 0.000 μB per atom

Entry 11:
Material: NaVPd2
Method: DFT, PBE-GGA
State: optimized geometry

Unit cell a=4.763 b=4.763 c=2.845 alpha=90.00 beta=90.00 gamma=90.00
Space group P4/mmm (No. 123)
Inequivalent atoms, fractional coordinates:
Na: 0.000 0.000 0.000 x1
V: 0.500 0.500 0.000 x1
Pd: 0.000 0.500 0.500 x2

* formation enthalpy at 0 K: 0.07 eV/atom
* offset from the most stable computed form: 208 meV/atom
* total moment: 0.554 μB per atom

Entry 12:
Material: NaVPd2
Method: DFT, PBE-GGA
State: optimized geometry

Unit cell a=6.367 b=6.367 c=6.367 alpha=90.00 beta=90.00 gamma=90.00
Space group Fm-3m (No. 225)
Inequivalent atoms, fractional coordinates:
Na: 0.000 0.000 0.000 x4
V: 0.000 0.000 0.500 x4
Pd: 0.250 0.250 0.250 x8

* formation enthalpy at 0 K: 0.12 eV/atom
* offset from the most stable computed form: 257 meV/atom
* total moment: 0.598 μB per atom

no.,E (eV per atom)
1,-5.53
2,-3.56
3,-4.87
4,-5.24
5,-4.80
6,-3.55
7,-5.47
8,-5.42
9,-5.34
10,-5.72
11,-5.14
12,-5.09